This record from Alexandria via LeMat-Bulk describes a geometry-optimized La7Pm12Tl structure. The functional is PBE-GGA.

```
La7Pm12Tl
1.0
8.6722 1.6925 -1.3365
-1.7782 8.6550 -1.3365
1.1276 1.6925 8.7018
Pm La Tl
12 7 1
direct
0.4560 0.1203 0.3440
0.5440 0.8797 0.6560
0.6654 0.1147 0.9957
0.0043 0.3346 0.8853
0.3346 0.8853 0.0043
0.3440 0.4560 0.1203
0.8853 0.0043 0.3346
0.1203 0.3440 0.4560
0.1147 0.9957 0.6654
0.6560 0.5440 0.8797
0.8797 0.6560 0.5440
0.9957 0.6654 0.1147
0.7887 0.3855 0.2298
0.2113 0.6145 0.7702
0.7702 0.2113 0.6145
0.3855 0.2298 0.7887
0.6145 0.7702 0.2113
0.2298 0.7887 0.3855
0.5000 0.5000 0.5000
0.0000 0.0000 0.0000
```

Results
E ... -4.5555 eV per atom
DFT formation energy ... 0.1378 eV per atom
SG ... R-3
Spin magnetization ... 0.0 μB/cell

This record from Alexandria via LeMat-Bulk describes a geometry-optimized La4Pm5Tl2 structure. The functional is PBE-GGA.

```
La4Pm5Tl2
1.0
-4.6543 1.8943 -0.5189
-3.8138 -1.8889 2.7217
1.0574 13.6121 15.6172
La Pm Tl
4 5 2
direct
0.5660 0.5660 0.3020
0.4340 0.4340 0.6980
0.6772 0.6772 0.9684
0.3228 0.3228 0.0316
0.3779 0.3779 0.8662
0.6221 0.6221 0.1338
0.8080 0.8080 0.5759
0.1920 0.1920 0.4241
0.5000 0.5000 0.5000
0.1280 0.1280 0.6160
0.8720 0.8720 0.3840
```

Results
E ... -3.9932 eV per atom
DFT formation energy ... 0.3882 eV per atom
SG ... R-3m
Spin magnetization ... 0.7 μB/cell